Computed, not measured: a geometry-optimized CaLa8Co4 structure at the PBE-GGA level of DFT.

Summary:
energy	-71.13	eV for the cell shown
E_form	-0.10	eV/atom
SG	C2/m
total magnetization	0.0000	μB per atom

a = 10.141 Å, b = 10.141 Å, c = 13.540 Å
α = 130.98°, β = 130.98°, γ = 23.36°
Fractional coordinates of all 13 atoms:
Ca1 0.000 0.000 0.000
La1 0.043 0.043 0.735
La2 0.290 0.290 0.929
La3 0.338 0.338 0.657
La4 0.361 0.361 0.406
La5 0.639 0.639 0.594
La6 0.662 0.662 0.343
La7 0.710 0.710 0.071
La8 0.957 0.957 0.265
Co1 0.145 0.145 0.463
Co2 0.337 0.337 0.180
Co3 0.663 0.663 0.820
Co4 0.855 0.855 0.537